1.
Computed, not measured: LaGeBi after structural relaxation at the PBE-GGA level of DFT.

Calculated values
- Space group: P2_13
- Calculated formation energy: -395 meV/atom
- Total energy: -4.87 eV per atom
- Crystal system: cubic
- Energy above the lowest structure with this stoichiometry: 330 meV per atom

Lattice parameters (Å, degrees): 7.248 7.248 7.248 90.00 90.00 90.00
Element x y z (fractional)
Bi (0.510, 0.510, 0.510)
Bi (0.490, 0.010, 0.990)
Bi (0.990, 0.490, 0.010)
Bi (0.010, 0.990, 0.490)
Ge (0.734, 0.734, 0.734)
Ge (0.234, 0.766, 0.266)
Ge (0.766, 0.266, 0.234)
Ge (0.266, 0.234, 0.766)
La (0.986, 0.986, 0.986)
La (0.514, 0.014, 0.486)
La (0.486, 0.514, 0.014)
La (0.014, 0.486, 0.514)

---

2.
Computed, not measured: MnAg2Au after structural relaxation at the PBE-GGA level of DFT.

Calculated values
- Space group: I-42d
- Calculated formation energy: 359 meV/atom
- Total energy: -4.18 eV per atom
- Crystal system: tetragonal

Lattice parameters (Å, degrees): 7.485 7.485 5.958 51.09 51.09 90.00
Element x y z (fractional)
Ag (0.133, 0.625, 0.250)
Ag (0.375, 0.383, 0.750)
Ag (0.617, 0.125, 0.250)
Ag (0.875, 0.867, 0.750)
Mn (0.250, 0.750, 0.500)
Mn (0.500, 0.500, 0.000)
Au (0.000, 0.000, 0.000)
Au (0.750, 0.250, 0.500)